Rb2S5 after structural relaxation, computed with PBEsol.

Lattice parameters (Å, degrees): 6.5130 6.8081 17.5358 90.00 90.00 90.00
Space group P2_12_12_1 (No. 19)
Asymmetric unit:
Rb 0.0776 0.2435 0.1646 (multiplicity 4)
Rb 0.1171 0.4194 0.5123 (multiplicity 4)
S 0.0492 0.7447 0.1554 (multiplicity 4)
S 0.0531 0.6329 0.8064 (multiplicity 4)
S 0.0657 0.3821 0.8740 (multiplicity 4)
S 0.0925 0.9198 0.5262 (multiplicity 4)
S 0.2491 0.8430 0.8531 (multiplicity 4)

Computed properties:
Fermi-level density of states: 0.000 states/eV/atom
Electronic total energy: -4.04 eV per atom

---

Tb2Ti2S2O5 after structural relaxation, computed with PBEsol.

Lattice parameters (Å, degrees): 3.7663 3.7663 22.6852 90.00 90.00 90.00
Space group I4/mmm (No. 139)
Asymmetric unit:
Tb 0.0000 0.0000 0.1670 (multiplicity 4)
Ti 0.0000 0.0000 0.4206 (multiplicity 4)
S 0.0000 0.0000 0.2944 (multiplicity 4)
O 0.0000 0.0000 0.5000 (multiplicity 2)
O 0.0000 0.5000 0.1002 (multiplicity 8)

Computed properties:
Electronic total energy: -8.57 eV per atom

---

LiCdSb2 after structural relaxation, computed with PBEsol.

Lattice parameters (Å, degrees): 7.2469 7.2469 7.2469 90.00 90.00 90.00
Space group F-43m (No. 216)
Asymmetric unit:
Li 0.0000 0.0000 0.0000 (multiplicity 4)
Cd 0.2500 0.2500 0.7500 (multiplicity 4)
Sb 0.0000 0.0000 0.5000 (multiplicity 4)
Sb 0.2500 0.2500 0.2500 (multiplicity 4)

Computed properties:
Fermi-level density of states: 0.617 states/eV/atom
Electronic total energy: -3.07 eV per atom

---

YMg2 after structural relaxation, computed with PBEsol.

Lattice parameters (Å, degrees): 3.3624 3.3624 13.3823 90.00 90.00 90.00
Space group I4/mmm (No. 139)
Asymmetric unit:
Y 0.0000 0.0000 0.0000 (multiplicity 2)
Mg 0.0000 0.0000 0.3259 (multiplicity 4)

Computed properties:
Fermi-level density of states: 0.940 states/eV/atom
Electronic total energy: -3.48 eV per atom
ΔE_f: -0.058 eV per atom

---

HgTe2Rh after structural relaxation, computed with PBEsol.

Lattice parameters (Å, degrees): 3.9353 3.9353 21.7403 90.00 90.00 120.00
Space group R-3m (No. 166, hexagonal axes)
Asymmetric unit:
Hg 0.0000 0.0000 0.0000 (multiplicity 3)
Te 0.0000 0.0000 0.2290 (multiplicity 6)
Rh 0.0000 0.0000 0.5000 (multiplicity 3)

Computed properties:
Fermi-level density of states: 0.510 states/eV/atom
Electronic total energy: -4.20 eV per atom
Distance to the lowest polymorph of the same formula: 0 meV/atom

---

LaReTe4 after structural relaxation, computed with PBEsol.

Lattice parameters (Å, degrees): 8.7454 8.7454 8.7454 90.00 90.00 90.00
Space group F-43m (No. 216)
Asymmetric unit:
La 0.0000 0.0000 0.0000 (multiplicity 4)
Re 0.2500 0.2500 0.2500 (multiplicity 4)
Te 0.1246 0.1246 0.6246 (multiplicity 16)

Computed properties:
Fermi-level density of states: 1.133 states/eV/atom
Electronic total energy: -4.70 eV per atom

---

BeCrBr2 after structural relaxation, computed with PBEsol.

Lattice parameters (Å, degrees): 3.3121 6.2286 8.5823 90.00 90.00 90.00
Space group Cmm2 (No. 35)
Asymmetric unit:
Be 0.0000 0.0000 0.0000 (multiplicity 2)
Cr 0.0000 0.5000 0.7729 (multiplicity 2)
Br 0.0000 0.0000 0.5646 (multiplicity 2)
Br 0.0000 0.5000 0.1649 (multiplicity 2)

Computed properties:
Fermi-level density of states: 0.157 states/eV/atom
Electronic total energy: -4.44 eV per atom
Distance to the lowest polymorph of the same formula: 25 meV/atom

---

CaCd2 after structural relaxation, computed with PBEsol.

Lattice parameters (Å, degrees): 5.9338 5.9338 9.4360 90.00 90.00 120.00
Space group P6_3/mmc (No. 194)
Asymmetric unit:
Ca 0.3333 0.6667 0.0602 (multiplicity 4)
Cd 0.0000 0.0000 0.0000 (multiplicity 2)
Cd 0.1702 0.3405 0.7500 (multiplicity 6)

Computed properties:
Fermi-level density of states: 0.481 states/eV/atom
Electronic total energy: -1.87 eV per atom
ΔE_f: -0.364 eV per atom

---

> What is the formula in the sixth record?

LaReTe4

---

> The highest electronic total energy belongs to which entry?

CaCd2

---

> What is the electronic total energy in the third record?

-3.07 eV per atom

---

> What is the electronic total energy in the fourth record?

-3.48 eV per atom